Record 1
Zr2RuPb: optimized geometry, PBE.

Cell lengths 7.696, 7.696, 6.102 Å; angles 90.00, 90.00, 90.00 degrees
Fractional coordinates of all 16 atoms:
Zr  0.199  0.250  0.125
Zr  0.250  0.699  0.375
Zr  0.250  0.801  0.875
Zr  0.301  0.250  0.625
Zr  0.699  0.750  0.625
Zr  0.750  0.199  0.875
Zr  0.750  0.301  0.375
Zr  0.801  0.750  0.125
Ru  0.000  0.000  0.000
Ru  0.000  0.500  0.250
Ru  0.500  0.000  0.750
Ru  0.500  0.500  0.500
Pb  0.000  0.000  0.500
Pb  0.000  0.500  0.750
Pb  0.500  0.000  0.250
Pb  0.500  0.500  0.000

Results
ΔH_f (0 K): 77.9 meV/atom
space-group type: I-42d, No. 122
M_tot: 0.0 Bohr magnetons per cell
electronic total energy: -119.08 eV per cell
Fermi-level density of states: 14.46 states/eV per cell

***

Record 2
Fe2RePt: optimized geometry, PBE.

Cell lengths 2.706, 2.706, 25.869 Å; angles 90.00, 90.00, 120.00 degrees
Fractional coordinates of all 12 atoms:
Fe  0.000  0.000  0.248
Fe  0.000  0.000  0.752
Fe  0.333  0.667  0.418
Fe  0.333  0.667  0.915
Fe  0.667  0.333  0.085
Fe  0.667  0.333  0.582
Re  0.000  0.000  0.500
Re  0.333  0.667  0.167
Re  0.667  0.333  0.833
Pt  0.000  0.000  0.000
Pt  0.333  0.667  0.667
Pt  0.667  0.333  0.333

Results
ΔH_f (0 K): 31.7 meV/atom
space-group type: R-3m, No. 166
M_tot: 13.2 Bohr magnetons per cell
electronic total energy: -105.86 eV per cell
Fermi-level density of states: 14.34 states/eV per cell

***

Record 3
Nd12Tl5Pt2: optimized geometry, PBE.

Cell lengths 9.619, 9.619, 9.831 Å; angles 102.17, 102.17, 48.56 degrees
Fractional coordinates of all 19 atoms:
Nd  0.006  0.006  0.264
Nd  0.084  0.589  0.901
Nd  0.107  0.594  0.424
Nd  0.406  0.893  0.576
Nd  0.411  0.916  0.099
Nd  0.478  0.478  0.168
Nd  0.522  0.522  0.832
Nd  0.589  0.084  0.901
Nd  0.594  0.107  0.424
Nd  0.893  0.406  0.576
Nd  0.916  0.411  0.099
Nd  0.994  0.994  0.736
Tl  0.186  0.186  0.840
Tl  0.199  0.199  0.366
Tl  0.500  0.500  0.500
Tl  0.801  0.801  0.634
Tl  0.814  0.814  0.160
Pt  0.194  0.806  0.000
Pt  0.806  0.194  0.000

Results
ΔH_f (0 K): -262.9 meV/atom
space-group type: C2/m, No. 12
M_tot: 1.2 Bohr magnetons per cell
electronic total energy: -86.12 eV per cell
Fermi-level density of states: 22.01 states/eV per cell

***

Record 4
Pr2YTh: optimized geometry, PBE.

Cell lengths 8.184, 8.184, 8.184 Å; angles 90.00, 90.00, 90.00 degrees
Fractional coordinates of all 16 atoms:
Pr  0.250  0.250  0.250
Pr  0.250  0.250  0.750
Pr  0.250  0.750  0.250
Pr  0.250  0.750  0.750
Pr  0.750  0.250  0.250
Pr  0.750  0.250  0.750
Pr  0.750  0.750  0.250
Pr  0.750  0.750  0.750
Y  0.000  0.000  0.000
Y  0.000  0.500  0.500
Y  0.500  0.000  0.500
Y  0.500  0.500  0.000
Th  0.000  0.000  0.500
Th  0.000  0.500  0.000
Th  0.500  0.000  0.000
Th  0.500  0.500  0.500

Results
ΔH_f (0 K): 205.6 meV/atom
space-group type: Fm-3m, No. 225
M_tot: 0.0 Bohr magnetons per cell
electronic total energy: -90.48 eV per cell
energy above the lowest structure with this stoichiometry: 0.69 eV/f.u.
Fermi-level density of states: 46.24 states/eV per cell

***

Record 5
Sr4PmTi3O12: optimized geometry, PBE.

Cell lengths 7.098, 7.098, 7.098 Å; angles 109.47, 109.47, 109.47 degrees
Fractional coordinates of all 20 atoms:
Sr  0.000  0.000  0.500
Sr  0.000  0.500  0.000
Sr  0.500  0.000  0.000
Sr  0.500  0.500  0.500
Pm  0.000  0.000  0.000
Ti  0.000  0.500  0.500
Ti  0.500  0.000  0.500
Ti  0.500  0.500  0.000
O  0.000  0.271  0.271
O  0.000  0.729  0.729
O  0.250  0.500  0.750
O  0.250  0.750  0.500
O  0.271  0.000  0.271
O  0.271  0.271  0.000
O  0.500  0.250  0.750
O  0.500  0.750  0.250
O  0.729  0.000  0.729
O  0.729  0.729  0.000
O  0.750  0.250  0.500
O  0.750  0.500  0.250

Results
space-group type: Im-3m, No. 229
M_tot: 0.8 Bohr magnetons per cell
electronic total energy: -153.27 eV per cell
ΔE_f (raw): -2.931 eV/atom
Fermi-level density of states: 12.34 states/eV per cell

***

Record 6
TbPrHf: optimized geometry, PBE.

Cell lengths 3.383, 3.383, 15.420 Å; angles 90.00, 90.00, 90.00 degrees
Fractional coordinates of all 6 atoms:
Tb  0.000  0.000  0.000
Tb  0.500  0.500  0.500
Pr  0.000  0.000  0.307
Pr  0.500  0.500  0.807
Hf  0.000  0.000  0.647
Hf  0.500  0.500  0.147

Results
ΔH_f (0 K): 155.2 meV/atom
space-group type: I4mm, No. 107
M_tot: 0.0 Bohr magnetons per cell
electronic total energy: -37.80 eV per cell
energy above the lowest structure with this stoichiometry: 0.00 eV/f.u.
Fermi-level density of states: 8.63 states/eV per cell

***

Record 7
RbTlW2: optimized geometry, PBE.

Cell lengths 6.915, 6.915, 6.915 Å; angles 90.00, 90.00, 90.00 degrees
Fractional coordinates of all 16 atoms:
Rb  0.000  0.000  0.000
Rb  0.000  0.500  0.500
Rb  0.500  0.000  0.500
Rb  0.500  0.500  0.000
Tl  0.000  0.000  0.500
Tl  0.000  0.500  0.000
Tl  0.500  0.000  0.000
Tl  0.500  0.500  0.500
W  0.250  0.250  0.250
W  0.250  0.250  0.750
W  0.250  0.750  0.250
W  0.250  0.750  0.750
W  0.750  0.250  0.250
W  0.750  0.250  0.750
W  0.750  0.750  0.250
W  0.750  0.750  0.750

Results
ΔH_f (0 K): 2441.5 meV/atom
space-group type: Fm-3m, No. 225
M_tot: 0.0 Bohr magnetons per cell
electronic total energy: -77.90 eV per cell
energy above the lowest structure with this stoichiometry: 0.21 eV/f.u.
Fermi-level density of states: 22.10 states/eV per cell

***

Record 8
Na2ReF8: optimized geometry, PBE.

Cell lengths 4.524, 6.294, 6.299 Å; angles 74.96, 85.79, 85.85 degrees
Fractional coordinates of all 11 atoms:
Na  0.224  0.111  0.113
Na  0.776  0.889  0.887
Re  0.500  0.500  0.500
F  0.260  0.405  0.758
F  0.262  0.761  0.415
F  0.271  0.357  0.348
F  0.275  0.886  0.886
F  0.725  0.114  0.114
F  0.729  0.643  0.652
F  0.738  0.239  0.585
F  0.740  0.595  0.242

Results
space-group type: P-1, No. 2
M_tot: 0.9 Bohr magnetons per cell
electronic total energy: -54.73 eV per cell
ΔE_f (raw): -2.243 eV/atom
Fermi-level density of states: 11.08 states/eV per cell